VASP calculation (PBE) on a geometry-optimized Al2IrCl structure.

Lattice parameters (Å, degrees): 2.9784 2.9784 7.3945 90.00 90.00 90.01
Closest atoms and distances in Å follow each position.
Atoms (fractional coordinates):
Al1 0.0000 0.0000 0.5399  4 Ir 2.62
Al2 0.0000 0.0000 0.9601  4 Ir 2.62
Ir1 0.5000 0.5000 0.7500  8 Al 2.62
Cl1 0.5000 0.5000 0.2500  4 Cl 2.98, 8 Al 3.00

Results
**DFT total energy**: -0.3666 Ry per atom
**Energy relative to the lowest polymorph listed for this composition**: 0.3290 eV/atom
**Total magnetic moment**: 0.00 μB per cell
**DOS(E_F)**: 0.362 states/eV/atom
**Formation energy (no corrections)**: -0.44 eV per atom